Here is a relaxed structure of HfGaO2F from the Alexandria database. Energies are from GGA-PBEsol.

a b c (Å): 3.8232 3.8232 3.8858
angles (deg): 90.00 90.00 90.00
Atoms (fractional coordinates):
Hf 0.0000 0.0000 0.0000
Ga 0.5000 0.5000 0.5000
O 0.0000 0.5000 0.5000
O 0.5000 0.0000 0.5000
F 0.5000 0.5000 0.0000

Calculated values
ρ: 8.75 g/cm3
energy relative to the elements, uncorrected: -128.3 kJ/mol of atoms
calculated volume: 56.8 Å³/cell
symmetry: P4/mmm, No. 123
DOS at the Fermi energy: 0.60 states/eV/atom

---

Here is a relaxed structure of LaCoRu from the Alexandria database. Energies are from GGA-PBEsol.

a b c (Å): 4.0137 4.0137 4.2569
angles (deg): 90.00 90.00 120.00
Atoms (fractional coordinates):
La 0.0000 0.0000 0.0000
Co 0.6667 0.3333 0.5000
Ru 0.3333 0.6667 0.5000

Calculated values
ρ: 8.36 g/cm3
calculated volume: 59.4 Å³/cell
formation enthalpy at 0 K: 0.040 eV per atom
symmetry: P-6m2, No. 187
DOS at the Fermi energy: 1.23 states/eV/atom

---

Here is a relaxed structure of KS3F from the Alexandria database. Energies are from GGA-PBEsol.

a b c (Å): 6.0769 6.0769 6.0769
angles (deg): 90.00 90.00 90.00
Atoms (fractional coordinates):
K 0.0000 0.0000 0.0000
S 0.0000 0.0000 0.5000
S 0.0000 0.5000 0.0000
S 0.5000 0.0000 0.0000
F 0.5000 0.5000 0.5000

Calculated values
ρ: 1.14 g/cm3
energy relative to the elements, uncorrected: 116.2 kJ/mol of atoms
calculated volume: 224.4 Å³/cell
symmetry: Pm-3m, No. 221
DOS at the Fermi energy: 2.39 states/eV/atom